[1]
Compound: PHAu3
Source: Alexandria via LeMat-Bulk
Functional: PBE
Structure: relaxed

Structure (POSCAR):
```
PHAu3
1.0
4.216 0.000 0.000
0.000 4.216 0.000
0.000 0.000 4.216
P H Au
1 1 3
direct
0.000 0.000 0.000 P
0.500 0.500 0.500 H
0.000 0.500 0.500 Au
0.500 0.000 0.500 Au
0.500 0.500 0.000 Au
```

E   -16.2 eV/cell
E above lowest polymorph   0.000 eV per atom
Magnetic moment   0.00 Bohr magnetons per cell


[2]
Compound: TmVRu
Source: Alexandria via LeMat-Bulk
Functional: PBE
Structure: relaxed

Structure (POSCAR):
```
TmVRu
1.0
3.763 0.000 0.000
0.000 10.737 0.000
0.000 0.000 5.635
Tm V Ru
4 4 4
direct
0.000 0.209 0.250 Tm
0.000 0.791 0.750 Tm
0.500 0.291 0.750 Tm
0.500 0.709 0.250 Tm
0.000 0.062 0.750 V
0.000 0.938 0.250 V
0.500 0.438 0.250 V
0.500 0.562 0.750 V
0.000 0.500 0.000 Ru
0.000 0.500 0.500 Ru
0.500 0.000 0.000 Ru
0.500 0.000 0.500 Ru
```

E   -93.4 eV/cell
Energy of formation   -164 meV per atom
Magnetic moment   0.00 Bohr magnetons per cell


[3]
Compound: CdP2Cl
Source: Alexandria via LeMat-Bulk
Functional: PBE
Structure: relaxed

Structure (POSCAR):
```
CdP2Cl
1.0
4.055 0.000 0.000
0.000 4.055 0.000
0.000 0.000 5.574
Cd P Cl
1 2 1
direct
0.000 0.000 0.000 Cd
0.500 0.500 0.182 P
0.500 0.500 0.818 P
0.000 0.000 0.500 Cl
```

E   -12.7 eV/cell
Uncorrected formation energy   0.2153 eV/atom
E above lowest polymorph   0.436 eV per atom
Magnetic moment   0.00 Bohr magnetons per cell


[4]
Compound: CoAsW2
Source: Alexandria via LeMat-Bulk
Functional: PBE
Structure: relaxed

Structure (POSCAR):
```
CoAsW2
1.0
2.814 0.000 0.000
-1.407 2.437 0.000
0.000 0.000 26.062
Co As W
3 3 6
direct
0.000 0.000 0.000 Co
0.333 0.667 0.667 Co
0.667 0.333 0.333 Co
0.000 0.000 0.500 As
0.333 0.667 0.167 As
0.667 0.333 0.833 As
0.000 0.000 0.254 W
0.000 0.000 0.746 W
0.333 0.667 0.413 W
0.333 0.667 0.921 W
0.667 0.333 0.079 W
0.667 0.333 0.587 W
```

E   -108.1 eV/cell
Energy of formation   409 meV per atom
Magnetic moment   1.03 Bohr magnetons per cell


[5]
Compound: GaBF3
Source: Alexandria via LeMat-Bulk
Functional: PBE
Structure: relaxed

Structure (POSCAR):
```
GaBF3
1.0
4.048 0.000 0.000
0.000 4.048 0.000
0.000 0.000 4.048
Ga B F
1 1 3
direct
0.000 0.000 0.000 Ga
0.500 0.500 0.500 B
0.000 0.000 0.500 F
0.000 0.500 0.000 F
0.500 0.000 0.000 F
```

E   -19.5 eV/cell
Uncorrected formation energy   -0.8431 eV/atom
E above lowest polymorph   0.119 eV per atom
Magnetic moment   0.00 Bohr magnetons per cell


[6]
Compound: Tb2Sm6Dy
Source: Alexandria via LeMat-Bulk
Functional: PBE
Structure: relaxed

Structure (POSCAR):
```
Tb2Sm6Dy
1.0
6.610 -3.816 0.000
6.610 3.816 0.000
-0.001 0.000 6.060
Tb Sm Dy
2 6 1
direct
0.166 0.166 0.283 Tb
0.834 0.834 0.717 Tb
0.122 0.688 0.213 Sm
0.312 0.312 0.786 Sm
0.312 0.878 0.787 Sm
0.688 0.122 0.213 Sm
0.688 0.688 0.214 Sm
0.878 0.312 0.787 Sm
0.500 0.500 0.500 Dy
```

E   -40.2 eV/cell
E above lowest polymorph   0.086 eV per atom
Energy of formation   219 meV per atom
Magnetic moment   0.00 Bohr magnetons per cell


[7]
Compound: Nd6GaP2Br3
Source: Alexandria via LeMat-Bulk
Functional: PBE
Structure: relaxed

Structure (POSCAR):
```
Nd6GaP2Br3
1.0
9.548 -2.094 0.000
9.548 2.094 0.000
-2.519 0.000 8.441
Nd Ga P Br
6 1 2 3
direct
0.011 0.011 0.237 Nd
0.322 0.322 0.441 Nd
0.341 0.341 0.887 Nd
0.659 0.659 0.113 Nd
0.678 0.678 0.559 Nd
0.989 0.989 0.763 Nd
0.500 0.500 0.000 Ga
0.167 0.167 0.336 P
0.833 0.833 0.664 P
0.166 0.166 0.833 Br
0.500 0.500 0.500 Br
0.834 0.834 0.167 Br
```

E   -63.1 eV/cell
Uncorrected formation energy   -1.2991 eV/atom
Magnetic moment   0.00 Bohr magnetons per cell


[8]
Compound: TiIn2AgMo
Source: Alexandria via LeMat-Bulk
Functional: PBE
Structure: relaxed

Structure (POSCAR):
```
TiIn2AgMo
1.0
5.294 0.000 0.000
0.000 5.294 0.000
0.000 0.000 4.457
Ti In Ag Mo
1 2 1 1
direct
0.000 0.000 0.000 Ti
0.000 0.500 0.000 In
0.500 0.000 0.000 In
0.500 0.500 0.500 Ag
0.000 0.000 0.500 Mo
```

E   -22.4 eV/cell
Energy of formation   935 meV per atom
Magnetic moment   0.59 Bohr magnetons per cell


Which of these has the lowest E?
CoAsW2


Repeat the second record exactly.
Compound: TmVRu
Source: Alexandria via LeMat-Bulk
Functional: PBE
Structure: relaxed

Structure (POSCAR):
```
TmVRu
1.0
3.763 0.000 0.000
0.000 10.737 0.000
0.000 0.000 5.635
Tm V Ru
4 4 4
direct
0.000 0.209 0.250 Tm
0.000 0.791 0.750 Tm
0.500 0.291 0.750 Tm
0.500 0.709 0.250 Tm
0.000 0.062 0.750 V
0.000 0.938 0.250 V
0.500 0.438 0.250 V
0.500 0.562 0.750 V
0.000 0.500 0.000 Ru
0.000 0.500 0.500 Ru
0.500 0.000 0.000 Ru
0.500 0.000 0.500 Ru
```

E   -93.4 eV/cell
Energy of formation   -164 meV per atom
Magnetic moment   0.00 Bohr magnetons per cell